The following is a PBE calculation of a relaxed Na12Cd2Bi crystal, from the Alexandria database.

## Properties
Its energy of formation from the pure elements is 0.04 eV/atom. The value obtained for the theoretical density is 1.98 g/cm³. The final energy is -1.40 eV/atom. For the volume, the calculation gives 1187.6 Å³ per cell.

a = 7.0811 Å, b = 7.0811 Å, c = 23.6847 Å
α = 90.00°, β = 90.00°, γ = 90.00°
With the nearest neighbours (Å) after each atom.
Fractional coordinates of all 30 atoms:
Na: 0.0000 0.0000 0.0770  2 Bi 3.10
Na: 0.0000 0.0000 0.9230  2 Bi 3.10
Na: 0.0000 0.5000 0.0770  2 Bi 3.10
Na: 0.0000 0.5000 0.9230  2 Bi 3.10
Na: 0.0764 0.5764 0.4336  8 Na 3.48-3.70
Na: 0.0764 0.9236 0.5664  8 Na 3.48-3.70
Na: 0.2500 0.2500 0.1892  5 Na 3.27-3.65, 4 Cd 3.55
Na: 0.2500 0.2500 0.3275  5 Na 3.27-3.63
Na: 0.2500 0.2500 0.6725  5 Na 3.27-3.63
Na: 0.2500 0.2500 0.8108  5 Na 3.27-3.65, 4 Cd 3.55
Na: 0.4236 0.5764 0.5664  8 Na 3.48-3.70
Na: 0.4236 0.9236 0.4336  8 Na 3.48-3.70
Na: 0.5000 0.0000 0.0770  2 Bi 3.10
Na: 0.5000 0.0000 0.9230  2 Bi 3.10
Na: 0.5000 0.5000 0.0770  2 Bi 3.10
Na: 0.5000 0.5000 0.9230  2 Bi 3.10
Na: 0.5764 0.0764 0.5664  8 Na 3.48-3.70
Na: 0.5764 0.4236 0.4336  8 Na 3.48-3.70
Na: 0.7500 0.7500 0.1892  5 Na 3.27-3.65, 4 Cd 3.55
Na: 0.7500 0.7500 0.3275  5 Na 3.27-3.63
Na: 0.7500 0.7500 0.6725  5 Na 3.27-3.63
Na: 0.7500 0.7500 0.8108  5 Na 3.27-3.65, 4 Cd 3.55
Na: 0.9236 0.0764 0.4336  8 Na 3.48-3.70
Na: 0.9236 0.4236 0.5664  8 Na 3.48-3.70
Cd: 0.2500 0.7500 0.1792  8 Na 3.48-3.55
Cd: 0.2500 0.7500 0.8208  8 Na 3.48-3.55
Cd: 0.7500 0.2500 0.1792  8 Na 3.48-3.55
Cd: 0.7500 0.2500 0.8208  8 Na 3.48-3.55
Bi: 0.2500 0.7500 0.0000  8 Na 3.10
Bi: 0.7500 0.2500 0.0000  8 Na 3.10